Density functional theory data (meta-GGA SCAN) for SrSb2Ir at its PBEsol-relaxed geometry.

The space group is R-3m (No. 166, hexagonal axes) and the conventional cell measures 4.3236, 4.3236 and 18.5020 Å, with angles of 90.00, 90.00 and 120.00 degrees. Symmetry generates all atoms from Sr at (0.0000, 0.0000, 0.0000), Sb at (0.0000, 0.0000, 0.2224) and Ir at (0.0000, 0.0000, 0.5000).

As for the raw formation energy: -0.66 eV/atom. Its final energy is -42.6334 eV/atom.